[1]
ZrTa2Ag | PBE | optimized geometry

a b c (Å): 5.7653 5.7653 5.7653
angles (deg): 147.71 130.41 60.43
With the nearest neighbours (Å) after each atom.
Element x y z (fractional)
Ag 0.2500 0.7500 0.5000  4 Zr 2.90, 4 Ta 2.91, 2 Ag 3.21
Ta 0.0067 0.0067 0.0000  6 Ta 2.90-3.21, 2 Ag 2.91, 2 Zr 3.02
Ta 0.4933 0.4933 0.0000  6 Ta 2.90-3.21, 2 Ag 2.91, 2 Zr 3.02
Zr 0.7500 0.2500 0.5000  4 Ag 2.90, 4 Ta 3.02, 2 Zr 3.21

* raw total energy: -8.5475 eV/atom
* excess energy over the best structure of this formula in the dataset: 12.6 kJ per mole of atoms
* E_form: 0.9 eV per formula unit
* SG: No. 71
* total magnetic moment: 0.0 μB/f.u.
* N(E_F): 4.3 states/eV/cell


[2]
DyPRh | PBE | optimized geometry

a b c (Å): 3.9025 6.7796 11.7990
angles (deg): 89.09 90.00 90.00
With the nearest neighbours (Å) after each atom.
Element x y z (fractional)
Dy 0.7500 0.5284 0.3782  5 P 2.83-2.88, 5 Rh 3.04-3.16
Dy 0.2500 0.9698 0.7086  5 P 2.79-2.88, 5 Rh 3.03-3.09
Dy 0.7500 0.0302 0.2914  5 P 2.79-2.88, 5 Rh 3.03-3.09
Dy 0.7500 0.6509 0.0802  5 P 2.85-2.92, 5 Rh 3.04-3.11
Dy 0.2500 0.4716 0.6218  5 P 2.83-2.88, 5 Rh 3.04-3.16
Dy 0.2500 0.3491 0.9198  5 P 2.85-2.92, 5 Rh 3.04-3.11
P 0.2500 0.7801 0.9199  5 Rh 2.43-2.65
P 0.7500 0.2662 0.7510  3 Rh 2.55-2.65, 6 Dy 2.83-2.85
P 0.7500 0.7723 0.5719  3 Rh 2.40-2.59
P 0.7500 0.2199 0.0801  5 Rh 2.43-2.65
P 0.2500 0.2277 0.4281  3 Rh 2.40-2.59
P 0.2500 0.7338 0.2490  3 Rh 2.55-2.65, 6 Dy 2.83-2.85
Rh 0.2500 0.0075 0.0893  4 P 2.43-2.62
Rh 0.2500 0.8499 0.4622  4 P 2.40-2.65
Rh 0.7500 0.6337 0.7950  4 P 2.55-2.78, 1 Rh 2.81
Rh 0.7500 0.1501 0.5378  4 P 2.40-2.65
Rh 0.2500 0.3663 0.2050  4 P 2.55-2.78, 1 Rh 2.81
Rh 0.7500 0.9925 0.9107  4 P 2.43-2.62

* raw total energy: -7.0321 eV/atom
* E_form: -3.7 eV per formula unit
* SG: No. 11
* total magnetic moment: 0.0 μB/f.u.
* N(E_F): 12.9 states/eV/cell


[3]
Li2TaFe | PBE | optimized geometry

a b c (Å): 5.3025 5.3025 5.3025
angles (deg): 142.03 142.03 54.79
With the nearest neighbours (Å) after each atom.
Element x y z (fractional)
Fe 0.7500 0.2500 0.5000  4 Ta 2.44
Li 0.0000 0.0000 0.0000  4 Li 2.44
Li 0.5000 0.5000 0.0000  4 Li 2.44
Ta 0.2500 0.7500 0.5000  4 Fe 2.44

* raw total energy: -5.7453 eV/atom
* excess energy over the best structure of this formula in the dataset: 22.3 kJ per mole of atoms
* E_form: 1.2 eV per formula unit
* SG: No. 139
* total magnetic moment: 0.0 μB/f.u.
* N(E_F): 2.3 states/eV/cell


[4]
PmPrNi4 | PBE | optimized geometry

a b c (Å): 3.9341 4.0543 7.0010
angles (deg): 90.00 90.00 90.00
With the nearest neighbours (Å) after each atom.
Element x y z (fractional)
Pm 0.9986 0.4973 0.9981  12 Ni 3.04-3.05
Pr 0.9986 0.9973 0.4981  12 Ni 3.06
Ni 0.4986 0.9973 0.1635  3 Ni 2.32-2.34
Ni 0.4985 0.9973 0.8327  3 Ni 2.32-2.34
Ni 0.4986 0.4973 0.6667  3 Ni 2.34-2.36
Ni 0.4986 0.4973 0.3297  3 Ni 2.34-2.36

* raw total energy: -5.7519 eV/atom
* E_form: -1.9 eV per formula unit
* SG: No. 47
* total magnetic moment: 0.6 μB/f.u.
* N(E_F): 6.9 states/eV/cell


[5]
Dy4Tm3Pd4 | PBE | optimized geometry

a b c (Å): 3.7974 9.0880 9.3200
angles (deg): 119.18 101.75 90.00
With the nearest neighbours (Å) after each atom.
Element x y z (fractional)
Dy 0.3384 0.1525 0.6768  4 Pd 2.86-3.18
Dy 0.6616 0.4757 0.3232  4 Pd 2.86-3.18
Dy 0.6616 0.8475 0.3232  4 Pd 2.86-3.18
Dy 0.3384 0.5243 0.6768  4 Pd 2.86-3.18
Tm 0.1059 0.1059 0.2119  6 Pd 2.96-2.98
Tm 0.8941 0.8941 0.7881  6 Pd 2.96-2.98
Tm 0.0000 0.5000 0.0000  4 Pd 3.53, 8 Dy 3.61, 2 Tm 3.80
Pd 0.2506 0.7506 0.5011  6 Dy 2.91-3.18, 2 Tm 2.96
Pd 0.7494 0.2494 0.4989  6 Dy 2.91-3.18, 2 Tm 2.96
Pd 0.5000 0.8279 0.0000  2 Dy 2.86, 4 Tm 2.98, 1 Pd 3.13
Pd 0.5000 0.1721 0.0000  2 Dy 2.86, 4 Tm 2.98, 1 Pd 3.13

* raw total energy: -5.3803 eV/atom
* E_form: -6.6 eV per formula unit
* SG: No. 71
* total magnetic moment: 0.0 μB/f.u.
* N(E_F): 12.3 states/eV/cell


[6]
InReSN2 | PBE | optimized geometry

a b c (Å): 3.8814 3.8814 5.2279
angles (deg): 90.00 90.00 90.00
With the nearest neighbours (Å) after each atom.
Element x y z (fractional)
Re 0.0000 0.0000 0.0000  4 N 1.94
S 0.0000 0.0000 0.5000  2 Re 2.61, 4 In 2.74
N 0.0000 0.5000 0.0000  2 Re 1.94
N 0.5000 0.0000 0.0000  2 Re 1.94
In 0.5000 0.5000 0.5000  4 S 2.74

* raw total energy: -6.8980 eV/atom
* excess energy over the best structure of this formula in the dataset: 0.0 kJ per mole of atoms
* SG: No. 123
* total magnetic moment: 0.0 μB/f.u.
* formation energy (no corrections): 0.29 eV per atom
* N(E_F): 2.6 states/eV/cell